No. 1
Density functional theory data (PBE) for crystalline Mg5InHg2Pd2 at its relaxed geometry.

Properties
Space-group type: No. 127
Magnetic moment (μB/atom): 0.000
Energy of formation (kcal/mol of atoms): -6.41

```
Mg5InHg2Pd2
1.0
3.561 0.000 0.000
0.000 10.907 0.000
0.000 0.000 10.907
Hg Mg Pd In
4 10 4 2
direct
0.000 0.835 0.665
0.000 0.165 0.335
0.000 0.335 0.835
0.000 0.665 0.165
0.500 0.907 0.198
0.500 0.407 0.302
0.500 0.802 0.907
0.500 0.500 0.000
0.500 0.593 0.698
0.500 0.302 0.593
0.500 0.093 0.802
0.500 0.698 0.407
0.500 0.198 0.093
0.500 0.000 0.500
0.000 0.628 0.872
0.000 0.128 0.628
0.000 0.872 0.372
0.000 0.372 0.128
0.000 0.500 0.500
0.000 0.000 0.000
```



No. 2
Density functional theory data (PBE) for crystalline PmMg2InHg4 at its relaxed geometry.

Properties
Space-group type: No. 166
Magnetic moment (μB/atom): 0.000
Energy of formation (kcal/mol of atoms): -6.27

```
PmMg2InHg4
1.0
5.000 0.000 0.000
2.500 4.330 0.000
2.500 1.443 8.923
In Pm Hg Mg
1 1 4 2
direct
0.500 0.500 0.500
0.000 0.000 0.000
0.879 0.879 0.364
0.382 0.382 0.855
0.121 0.121 0.636
0.618 0.618 0.145
0.248 0.248 0.257
0.752 0.752 0.743
```



No. 3
Density functional theory data (PBE) for crystalline PmMgInHg at its relaxed geometry.

Properties
Space-group type: No. 216
Magnetic moment (μB/atom): 0.000
Energy of formation (kcal/mol of atoms): -9.40

```
PmMgInHg
1.0
-2.542 3.211 3.241
-3.977 -1.797 2.869
0.541 -0.539 5.167
Hg In Pm Mg
1 1 1 1
direct
0.250 0.250 0.250
0.750 0.750 0.750
0.500 0.500 0.500
0.000 0.000 0.000
```



No. 4
Density functional theory data (PBE) for crystalline Pm2MgIn3Hg6 at its relaxed geometry.

Properties
Space-group type: No. 123
Magnetic moment (μB/atom): 0.000
Energy of formation (kcal/mol of atoms): -0.59

```
Pm2MgIn3Hg6
1.0
4.586 0.000 0.000
0.000 4.586 0.000
0.000 0.000 18.651
In Hg Mg Pm
3 6 1 2
direct
0.000 0.000 0.700
0.000 0.000 0.300
0.000 0.000 0.000
0.000 0.500 0.591
0.000 0.000 0.150
0.500 0.000 0.409
0.000 0.000 0.850
0.500 0.000 0.591
0.000 0.500 0.409
0.500 0.500 0.500
0.500 0.500 0.278
0.500 0.500 0.722
```



No. 5
Density functional theory data (PBE) for crystalline PrMgInHg at its relaxed geometry.

Properties
Space-group type: No. 216
Magnetic moment (μB/atom): 0.000
Energy of formation (kcal/mol of atoms): -9.39

```
PrMgInHg
1.0
5.270 0.000 0.000
2.635 4.564 0.000
2.635 1.521 4.303
Mg In Hg Pr
1 1 1 1
direct
0.000 0.000 0.000
0.750 0.750 0.750
0.250 0.250 0.250
0.500 0.500 0.500
```



No. 6
Density functional theory data (PBE) for crystalline PrMg2InHg4 at its relaxed geometry.

Properties
Space-group type: No. 166
Magnetic moment (μB/atom): 0.000
Energy of formation (kcal/mol of atoms): -6.36

```
PrMg2InHg4
1.0
4.978 0.000 0.000
2.489 4.311 0.000
2.489 1.437 9.142
Hg Pr In Mg
4 1 1 2
direct
0.615 0.615 0.154
0.385 0.385 0.846
0.878 0.878 0.365
0.122 0.122 0.635
0.000 0.000 0.000
0.500 0.500 0.500
0.245 0.245 0.265
0.755 0.755 0.735
```



No. 7
Density functional theory data (PBE) for crystalline Mg2InHgPt at its relaxed geometry.

Properties
Space-group type: No. 123
Magnetic moment (μB/atom): 0.000
Energy of formation (kcal/mol of atoms): -6.96

```
Mg2InHgPt
1.0
-1.842 -0.305 4.733
-1.221 -4.876 -0.789
4.636 -1.438 1.712
Pt Hg Mg In
1 1 2 1
direct
0.000 0.000 0.000
0.500 0.500 0.500
0.500 0.000 0.000
0.000 0.500 0.000
0.000 0.000 0.500
```



No. 8
Density functional theory data (PBE) for crystalline MgIn2HgPt at its relaxed geometry.

Properties
Space-group type: No. 123
Magnetic moment (μB/atom): 0.000
Energy of formation (kcal/mol of atoms): -6.46

```
MgIn2HgPt
1.0
5.182 0.000 0.000
0.000 5.182 0.000
0.000 0.000 5.144
In Mg Hg Pt
2 1 1 1
direct
0.000 0.500 0.000
0.500 0.000 0.000
0.000 0.000 0.500
0.500 0.500 0.500
0.000 0.000 0.000
```